(1)
VASP calculation (PBE) on crystalline NpNiSe4 at its relaxed geometry.

Lattice parameters (Å, degrees): 6.6140 7.0179 5.5084 90.00 90.08 90.00
Closest atoms and distances in Å follow each position.
Space group P2_1/c (No. 14)
One atom of each set of equivalent atoms:
Np: 0.0000 0.0000 0.0000 (multiplicity 2)  6 Se 2.78-3.10
Ni: 0.5000 0.0000 0.5000 (multiplicity 2)  6 Se 2.35-2.51
Se: 0.1764 0.1400 0.5004 (multiplicity 4)  1 Ni 2.35
Se: 0.3258 0.7497 0.2506 (multiplicity 4)  2 Ni 2.51, 2 Se 2.75

Output
Its total moment is 3.17 μB/f.u. Its volume is 256 Å³ per cell. The formation energy without anion corrections is -499 meV/atom.

(2)
VASP calculation (PBE) on crystalline Er2TmPb at its relaxed geometry.

Lattice parameters (Å, degrees): 3.6069 3.6069 9.0643 90.00 90.00 90.00
Closest atoms and distances in Å follow each position.
Space group P4/mmm (No. 123)
One atom of each set of equivalent atoms:
Er: 0.0000 0.0000 0.2384 (multiplicity 2)  4 Pb 3.34, 4 Tm 3.48, 4 Er 3.61
Tm: 0.5000 0.5000 0.5000 (multiplicity 1)  8 Er 3.48, 4 Tm 3.61
Pb: 0.5000 0.5000 0.0000 (multiplicity 1)  8 Er 3.34, 4 Pb 3.61

Output
Its total moment is 0.00 μB/f.u. Its volume is 118 Å³ per cell. The total DFT energy (no corrections) is -4.53 eV/atom.

(3)
VASP calculation (PBE) on crystalline LiZr2AsPt at its relaxed geometry.

Lattice parameters (Å, degrees): 5.0210 5.0210 4.1505 90.00 90.00 90.00
Closest atoms and distances in Å follow each position.
Space group P4/mmm (No. 123)
One atom of each set of equivalent atoms:
Li: 0.0000 0.0000 0.0000 (multiplicity 1)  2 As 2.08
Zr: 0.0000 0.5000 0.5000 (multiplicity 2)  2 As 2.51
As: 0.0000 0.0000 0.5000 (multiplicity 1)  2 Li 2.08
Pt: 0.5000 0.5000 0.0000 (multiplicity 1)  8 Zr 3.26, 4 Li 3.55

Output
Its total moment is 0.00 μB/f.u. Its volume is 105 Å³ per cell. The total DFT energy (no corrections) is -6.12 eV/atom.

(4)
VASP calculation (PBE) on crystalline HfGaNiIr at its relaxed geometry.

Lattice parameters (Å, degrees): 6.2454 6.2454 6.2454 90.00 90.00 90.00
Closest atoms and distances in Å follow each position.
Space group F-43m (No. 216)
One atom of each set of equivalent atoms:
Hf: 0.0000 0.0000 0.0000 (multiplicity 4)  4 Ni 2.70, 4 Ir 2.70
Ga: 0.0000 0.0000 0.5000 (multiplicity 4)  4 Ir 2.70, 4 Ni 2.70
Ni: 0.2500 0.2500 0.7500 (multiplicity 4)  4 Ga 2.70, 4 Hf 2.70
Ir: 0.2500 0.2500 0.2500 (multiplicity 4)  4 Hf 2.70, 4 Ga 2.70

Output
Its total moment is 0.00 μB/f.u. Its volume is 244 Å³ per cell. The total DFT energy (no corrections) is -7.57 eV/atom.

Question: total moment of number 4 (HfGaNiIr)?
Answer: 0.00 μB/f.u.